Density functional theory data (PBE-GGA) for an optimized crystal structure of LiScTi.

The structure in CIF format:
```
data_LiScTi
_chemical_formula_sum 'Li2 Sc2 Ti2'
_cell_length_a 5.274
_cell_length_b 3.007
_cell_length_c 7.853
_cell_angle_alpha 90.00
_cell_angle_beta 88.98
_cell_angle_gamma 90.00
_symmetry_space_group_name_H-M 'P 1'
_symmetry_Int_Tables_number 1
loop_
_symmetry_equiv_pos_as_xyz
'x,y,z'
loop_
_atom_site_label
_atom_site_fract_x
_atom_site_fract_y
_atom_site_fract_z
Ti1 0.160 0.500 0.858
Ti2 0.840 0.500 0.142
Sc1 0.670 0.000 0.844
Sc2 0.330 0.000 0.156
Li1 0.000 0.000 0.500
Li2 0.500 0.500 0.500
```

Properties
As for the polymorph energy (0 for the lowest one): 109.4 meV per atom. The space group is P2/m. For the magnetic moment, the calculation gives 0.00 μB per formula unit. As for the density of states at the Fermi level: 3.85 states/eV/f.u.